Record 1
PBE-GGA NiTeAsI2, relaxed; calculated volume = 135.7 Å³ per cell; total DFT energy (no corrections) = -2.837 eV/atom; ΔE_f (raw) = 497.5 meV/atom
1.0
5.131 0.000 0.000
0.000 5.131 0.000
0.000 0.000 5.156
Ni Te As I
1 1 1 2
Cartesian
0.000 0.000 0.000
0.000 0.000 2.578
2.565 2.565 2.578
0.000 2.565 0.000
2.565 0.000 0.000

***

Record 2
PBE-GGA VNiAs2I, relaxed; calculated volume = 108.6 Å³ per cell; total DFT energy (no corrections) = -4.272 eV/atom; ΔE_f (raw) = 877.4 meV/atom
1.0
4.551 0.000 0.000
0.000 4.551 0.000
0.000 0.000 5.247
V Ni As I
1 1 2 1
Cartesian
0.000 0.000 0.000
2.275 2.275 2.623
0.000 2.275 2.623
2.275 0.000 2.623
2.275 2.275 0.000

***

Record 3
PBE-GGA AsI2O2, relaxed; calculated volume = 141.1 Å³ per cell; total DFT energy (no corrections) = -3.247 eV/atom; ΔE_f (raw) = 285.9 meV/atom
1.0
4.075 0.000 0.000
0.000 4.075 0.000
0.000 0.000 8.497
As I O
1 2 2
Cartesian
0.000 0.000 0.000
2.038 2.038 0.000
2.038 2.038 4.248
0.000 2.038 4.248
2.038 0.000 4.248

***

Record 4
PBE-GGA AsI2O, relaxed; calculated volume = 208.0 Å³ per cell; total DFT energy (no corrections) = -2.622 eV/atom; ΔE_f (raw) = 554.7 meV/atom
1.0
-3.597 3.597 4.020
3.597 -3.597 4.020
3.597 3.597 -4.020
As I O
2 4 2
Cartesian
0.000 0.000 0.000
0.000 3.597 2.010
1.798 -1.630 3.015
1.966 1.798 1.005
1.798 5.227 -1.005
1.630 1.798 5.025
3.597 0.000 2.010
0.000 0.000 4.020